! VAgGe2 | the Alexandria database | GGA-PBE | optimized geometry; values from VASP
! Fermi-level density of states in states/eV/atom: 0.8505
! Energy relative to the elements in eV/atom: 0.150
&SYSTEM
  ibrav = 0, nat = 4, ntyp = 3
/
ATOMIC_SPECIES
Ag 107.87 Ag.upf
Ge 72.64 Ge.upf
V 50.94 V.upf
ATOMIC_POSITIONS crystal
Ag 0.5000 0.5000 0.0000
Ge 0.0000 0.0000 0.7137
Ge 0.0000 0.0000 0.2863
V 0.5000 0.5000 0.5000
CELL_PARAMETERS angstrom
3.2648 0.0000 0.0000
0.0000 3.2648 0.0000
0.0000 0.0000 6.1587